Compound: LiReCl2
Source: Alexandria via LeMat-Bulk
Functional: PBE
Structure: relaxed

Unit cell a=5.6395 b=5.6395 c=6.2447 alpha=63.16 beta=63.16 gamma=90.00
Fractional positions:
Li (0.2500, 0.7500, 0.5000)
Li (0.5000, 0.5000, 0.0000)
Cl (0.3750, 0.3808, 0.7500)
Cl (0.6192, 0.1250, 0.2500)
Cl (0.8750, 0.8692, 0.7500)
Cl (0.1308, 0.6250, 0.2500)
Re (0.7500, 0.2500, 0.5000)
Re (0.0000, 0.0000, 0.0000)

Values from the calculation:
- volume (Å³ per atom) = 19.10
- DOS(E_F) (states/eV per atom) = 0.27
- DFT total energy (eV per atom) = -4.2977
- formation energy (no corrections) (meV/atom) = 216
- energy above the most stable polymorph in this dataset (eV/f.u.) = 2.251